The following is a DFT calculation (GGA-PBEsol) of a relaxed ZnCd3Bi crystal.

Cell and atoms, written as POSCAR:
```
ZnCd3Bi
1.0
5.777 0.000 0.000
0.000 5.777 0.000
0.000 0.000 5.777
Cd Zn Bi
3 1 1
Direct
0.000 0.000 0.500
0.000 0.500 0.000
0.500 0.000 0.000
0.500 0.500 0.500
0.000 0.000 0.000
```

Output
Calculated formation energy in eV/atom: 0.65
Space-group type: Pm-3m, No. 221
D(E_F) in states/eV/cell: 0.99
Volume in Å³ per cell: 192.8